[1]
Here is a geometry-optimized SbOs2 structure from Alexandria. Energies are from PBE-GGA.

Geometry as POSCAR:
```
SbOs2
1.0
-3.0806 3.2366 -4.3451
0.3095 1.4467 -6.0545
0.2515 -4.0453 4.7347
Sb Os
1 2
Direct
0.0000 0.0000 0.0000
0.6837 0.6837 0.0000
0.3163 0.3163 0.0000
```

raw formation energy	617	meV per atom

=====

[2]
Here is a geometry-optimized MnP3I structure from Alexandria. Energies are from PBE-GGA.

Geometry as POSCAR:
```
MnP3I
1.0
4.4937 0.0000 0.0000
0.0000 4.4937 0.0000
0.0000 0.0000 4.4937
Mn P I
1 3 1
Direct
0.0000 0.0000 0.0000
0.5000 0.0000 0.0000
0.0000 0.5000 0.0000
0.0000 0.0000 0.5000
0.5000 0.5000 0.5000
```

E above lowest polymorph	0.000	eV/atom
raw formation energy	505	meV per atom

=====

[3]
Here is a geometry-optimized Cs2TiSeBr6 structure from Alexandria. Energies are from PBE-GGA.

Geometry as POSCAR:
```
Cs2TiSeBr6
1.0
-1.6719 -8.4380 -1.0059
8.2518 -1.8570 1.8619
2.0868 -5.5026 5.4061
Br Se Cs Ti
6 1 2 1
Direct
0.7497 0.7497 0.5006
0.2503 0.2503 0.4994
0.7077 0.7077 0.0000
0.2923 0.2923 0.0000
0.2923 0.7077 0.0000
0.7077 0.2923 0.0000
0.0000 0.0000 0.0000
0.2500 0.7500 0.5000
0.7500 0.2500 0.5000
0.5000 0.5000 0.0000
```

raw formation energy	-1115	meV per atom

=====

[4]
Here is a geometry-optimized Nb3SbC structure from Alexandria. Energies are from PBE-GGA.

Geometry as POSCAR:
```
Nb3SbC
1.0
4.3647 0.0000 0.0000
0.0000 4.3647 0.0000
0.0000 0.0000 4.3647
Nb C Sb
3 1 1
Direct
0.0000 0.5000 0.0000
0.0000 0.0000 0.5000
0.5000 0.0000 0.0000
0.0000 0.0000 0.0000
0.5000 0.5000 0.5000
```

raw formation energy	-122	meV per atom

=====

[5]
Here is a geometry-optimized In2OsCl structure from Alexandria. Energies are from PBE-GGA.

Geometry as POSCAR:
```
In2OsCl
1.0
3.3590 -0.0011 0.0310
1.6785 2.9095 0.0310
1.5509 0.8956 8.4427
Os In Cl
1 2 1
Direct
0.7500 0.7500 0.7500
0.0098 0.0098 0.9786
0.4902 0.4902 0.5214
0.2500 0.2500 0.2500
```

E above lowest polymorph	0.168	eV/atom
raw formation energy	192	meV per atom

=====

[6]
Here is a geometry-optimized SbSe2Cl structure from Alexandria. Energies are from PBE-GGA.

Geometry as POSCAR:
```
SbSe2Cl
1.0
-1.9075 4.3893 -1.4514
-0.2070 1.1513 -4.8624
-4.4133 0.1550 -2.3473
Se Sb Cl
2 1 1
Direct
0.7500 0.7500 0.7500
0.0000 0.0000 0.0000
0.2500 0.2500 0.2500
0.5000 0.5000 0.5000
```

E above lowest polymorph	0.517	eV/atom
raw formation energy	207	meV per atom

=====

[7]
Here is a geometry-optimized TmSi3Ni2 structure from Alexandria. Energies are from PBE-GGA.

Geometry as POSCAR:
```
TmSi3Ni2
1.0
-4.7902 -0.2785 -2.1768
-0.8844 -5.1078 2.5996
-2.0192 3.7158 3.9681
Si Tm Ni
6 2 4
Direct
0.2500 0.5424 0.8547
0.7500 0.0433 0.0433
0.7500 0.4576 0.1453
0.2500 0.9567 0.9567
0.7500 0.1453 0.4576
0.2500 0.8547 0.5424
0.7500 0.6660 0.6660
0.2500 0.3340 0.3340
0.5000 0.2117 0.7883
0.0000 0.2117 0.7883
0.5000 0.7883 0.2117
0.0000 0.7883 0.2117
```

raw formation energy	-541	meV per atom

=====

[8]
Here is a geometry-optimized YIn structure from Alexandria. Energies are from PBE-GGA.

Geometry as POSCAR:
```
YIn
1.0
-7.4353 -0.2091 -4.2547
7.3238 -1.7676 -4.0825
-0.5964 -5.5029 1.3127
In Y
6 6
Direct
0.1136 0.4833 0.2500
0.8864 0.5167 0.7500
0.6303 0.1136 0.7500
0.4833 0.3697 0.7500
0.3697 0.8864 0.2500
0.5167 0.6303 0.2500
0.0725 0.2735 0.7500
0.9275 0.7265 0.2500
0.2735 0.2010 0.2500
0.7265 0.7990 0.7500
0.2010 0.9275 0.7500
0.7990 0.0725 0.2500
```

formation enthalpy at 0 K	-210	meV per atom

=====

no.,energy (eV per atom),volume (Å³/atom)
1,-8.2439,17.233
2,-4.8844,18.148
3,-3.4269,38.507
4,-8.8327,16.630
5,-4.4461,20.585
6,-3.0275,22.112
7,-5.9248,14.454
8,-4.8109,30.146